Record 1
The following is a PBE-GGA calculation of a relaxed structure of Sr3TlO, from Alexandria.

- E_form (uncorrected) (eV per atom) = -0.726

a = 4.9125 Å, b = 4.9125 Å, c = 9.6615 Å
α = 90.00°, β = 90.00°, γ = 90.00°
Fractional positions:
Sr  0.0000  0.0000  0.8156
Sr  0.5000  0.0000  0.4251
Sr  0.0000  0.5000  0.4251
Tl  0.0000  0.0000  0.1553
O  0.5000  0.5000  0.4426

Record 2
The following is a PBE-GGA calculation of a relaxed structure of ScAsPt2, from Alexandria.

- DFT formation energy (eV per atom) = -0.65

a = 3.9514 Å, b = 3.9514 Å, c = 9.6654 Å
α = 78.21°, β = 78.21°, γ = 90.00°
Fractional positions:
Sc  0.5000  0.5000  0.0000
Sc  0.2500  0.7500  0.5000
As  0.0000  0.0000  0.0000
As  0.7500  0.2500  0.5000
Pt  0.6332  0.1250  0.2500
Pt  0.1168  0.6250  0.2500
Pt  0.3750  0.3668  0.7500
Pt  0.8750  0.8832  0.7500

Record 3
The following is a PBE-GGA calculation of a relaxed structure of YTmTcNi, from Alexandria.

- DFT formation energy (eV per atom) = -0.13

a = 4.7850 Å, b = 4.7850 Å, c = 4.7850 Å
α = 60.00°, β = 60.00°, γ = 60.00°
Fractional positions:
Y  0.7500  0.7500  0.7500
Ni  0.0000  0.0000  0.0000
Tm  0.2500  0.2500  0.2500
Tc  0.5000  0.5000  0.5000

Record 4
The following is a PBE-GGA calculation of a relaxed structure of Y4In3, from Alexandria.

- DFT formation energy (eV per atom) = -0.32
- ΔE to the lowest computed polymorph (eV per atom) = 0.113

a = 6.0903 Å, b = 6.0903 Å, c = 5.9983 Å
α = 90.00°, β = 90.00°, γ = 120.00°
Fractional positions:
Y  0.0000  0.0000  0.2406
Y  0.0000  0.0000  0.7594
Y  0.6667  0.3333  0.5000
Y  0.3333  0.6667  0.5000
In  0.0000  0.5000  0.0000
In  0.5000  0.5000  0.0000
In  0.5000  0.0000  0.0000

Record 5
The following is a PBE-GGA calculation of a relaxed structure of Ta2VH2, from Alexandria.

- ΔE to the lowest computed polymorph (eV per atom) = 0.009

a = 3.2557 Å, b = 3.2557 Å, c = 5.7070 Å
α = 73.43°, β = 73.43°, γ = 90.00°
Fractional positions:
H  0.7500  0.2500  0.5000
H  0.2500  0.7500  0.5000
Ta  0.3557  0.3557  0.2886
Ta  0.6443  0.6443  0.7114
V  0.0000  0.0000  0.0000

Record 6
The following is a PBE-GGA calculation of a relaxed structure of La7PmSm12, from Alexandria.

- DFT formation energy (eV per atom) = 0.21
- ΔE to the lowest computed polymorph (eV per atom) = 0.000

a = 8.9456 Å, b = 8.9456 Å, c = 8.9456 Å
α = 87.43°, β = 87.43°, γ = 87.43°
Fractional positions:
La  0.8420  0.6063  0.9213
La  0.3937  0.0787  0.1580
La  0.0787  0.1580  0.3937
La  0.5000  0.5000  0.5000
La  0.9213  0.8420  0.6063
La  0.6063  0.9213  0.8420
La  0.1580  0.3937  0.0787
Pm  0.0000  0.0000  0.0000
Sm  0.8578  0.2565  0.7244
Sm  0.7435  0.2756  0.1422
Sm  0.6177  0.1356  0.4947
Sm  0.8644  0.5053  0.3823
Sm  0.2756  0.1422  0.7435
Sm  0.5053  0.3823  0.8644
Sm  0.4947  0.6177  0.1356
Sm  0.7244  0.8578  0.2565
Sm  0.1356  0.4947  0.6177
Sm  0.3823  0.8644  0.5053
Sm  0.2565  0.7244  0.8578
Sm  0.1422  0.7435  0.2756

Record 7
The following is a PBE-GGA calculation of a relaxed structure of LaSi, from Alexandria.

- E_form (uncorrected) (eV per atom) = 0.207

a = 4.7800 Å, b = 4.7800 Å, c = 4.7800 Å
α = 60.00°, β = 60.00°, γ = 60.00°
Fractional positions:
La  0.0000  0.0000  0.0000
Si  0.2500  0.2500  0.2500

Record 8
The following is a PBE-GGA calculation of a relaxed structure of Si2TcTe, from Alexandria.

- E_form (uncorrected) (eV per atom) = 0.108

a = 3.1086 Å, b = 3.1094 Å, c = 7.0787 Å
α = 90.00°, β = 90.00°, γ = 90.00°
Fractional positions:
Si  0.0000  0.0000  0.0622
Si  0.0000  0.0000  0.4378
Tc  0.5000  0.5000  0.2500
Te  0.5000  0.5000  0.7500